The following is a PBE calculation of a geometry-optimized Sr2Ag2O5 structure, from OQMD via LeMat-Bulk.

## Properties
- offset from the most stable computed form (meV per atom) = 330
- SG = No. 123

POSCAR file:
```
Sr2Ag2O5
1.0
4.542 0.000 0.000
0.000 4.542 0.000
0.000 0.000 8.106
Sr Ag O
2 2 5
Direct
0.000 0.000 0.221
0.000 0.000 0.779
0.500 0.500 0.000
0.500 0.500 0.500
0.000 0.000 0.500
0.000 0.500 0.093
0.000 0.500 0.907
0.500 0.000 0.093
0.500 0.000 0.907
```



The following is a PBE calculation of a geometry-optimized Sr2Ag2O5 structure, from OQMD via LeMat-Bulk.

## Properties
- offset from the most stable computed form (meV per atom) = 0
- SG = No. 123

POSCAR file:
```
Sr2Ag2O5
1.0
4.129 0.000 0.000
0.000 4.129 0.000
0.000 0.000 7.453
Sr Ag O
2 2 5
Direct
0.000 0.000 0.000
0.000 0.000 0.500
0.500 0.500 0.220
0.500 0.500 0.780
0.000 0.500 0.217
0.000 0.500 0.783
0.500 0.000 0.217
0.500 0.000 0.783
0.500 0.500 0.500
```



The following is a PBE calculation of a geometry-optimized Sr2AgO3 structure, from OQMD via LeMat-Bulk.

## Properties
- SG = No. 71
- raw total energy (eV per atom) = -5.413

POSCAR file:
```
Sr2AgO3
1.0
3.465 0.000 0.000
0.000 4.184 0.000
0.000 0.000 13.057
Sr Ag O
4 2 6
Direct
0.000 0.000 0.149
0.000 0.000 0.851
0.500 0.500 0.351
0.500 0.500 0.649
0.000 0.000 0.500
0.500 0.500 0.000
0.000 0.000 0.336
0.000 0.000 0.664
0.000 0.500 0.500
0.500 0.000 0.000
0.500 0.500 0.164
0.500 0.500 0.836
```



The following is a PBE calculation of a geometry-optimized Sr2Ag2O3 structure, from OQMD via LeMat-Bulk.

## Properties
- SG = No. 69
- raw total energy (eV per atom) = -4.409

POSCAR file:
```
Sr2Ag2O3
1.0
0.000 6.326 6.743
2.213 0.000 6.743
2.213 6.326 0.000
Sr Ag O
2 2 3
Direct
0.113 0.113 0.887
0.887 0.887 0.113
0.327 0.673 0.327
0.673 0.327 0.673
0.146 0.854 0.146
0.500 0.500 0.500
0.854 0.146 0.854
```



The following is a PBE calculation of a geometry-optimized SrAgO3 structure, from OQMD via LeMat-Bulk.

## Properties
- SG = No. 148
- raw total energy (eV per atom) = -4.809

POSCAR file:
```
SrAgO3
1.0
2.873 1.659 5.158
-2.873 1.659 5.158
0.000 -3.318 5.158
Sr Ag O
2 2 6
Direct
0.131 0.131 0.131
0.869 0.869 0.869
0.341 0.341 0.341
0.659 0.659 0.659
0.056 0.695 0.472
0.305 0.528 0.944
0.472 0.056 0.695
0.528 0.944 0.305
0.695 0.472 0.056
0.944 0.305 0.528
```



The following is a PBE calculation of a geometry-optimized SrTbAgO3 structure, from OQMD via LeMat-Bulk.

## Properties
- SG = No. 63
- magnetic moment (μB per cell) = 0.00
- raw total energy (eV per atom) = -6.296

POSCAR file:
```
SrTbAgO3
1.0
1.821 -6.360 0.000
1.821 6.360 0.000
0.000 0.000 8.736
Sr Tb Ag O
2 2 2 6
Direct
0.178 0.822 0.750
0.822 0.178 0.250
0.500 0.500 0.000
0.500 0.500 0.500
0.117 0.883 0.250
0.883 0.117 0.750
0.115 0.885 0.016
0.115 0.885 0.484
0.445 0.555 0.250
0.555 0.445 0.750
0.885 0.115 0.516
0.885 0.115 0.984
```



The following is a PBE calculation of a geometry-optimized SrAgTeO structure, from OQMD via LeMat-Bulk.

## Properties
- SG = No. 62
- raw total energy (eV per atom) = -4.235

POSCAR file:
```
SrAgTeO
1.0
6.700 0.000 0.000
0.000 4.359 0.000
0.000 0.000 13.232
Sr Ag Te O
4 4 4 4
Direct
0.236 0.250 0.079
0.264 0.750 0.579
0.736 0.250 0.421
0.764 0.750 0.921
0.034 0.250 0.752
0.466 0.750 0.252
0.534 0.250 0.748
0.966 0.750 0.248
0.231 0.250 0.368
0.269 0.750 0.868
0.731 0.250 0.132
0.769 0.750 0.632
0.219 0.750 0.149
0.281 0.250 0.649
0.719 0.750 0.351
0.781 0.250 0.851
```



The following is a PBE calculation of a geometry-optimized SrAgTeO structure, from OQMD via LeMat-Bulk.

## Properties
- SG = No. 63
- raw total energy (eV per atom) = -4.321

POSCAR file:
```
SrAgTeO
1.0
3.632 0.000 0.000
0.000 15.715 0.000
0.000 0.000 6.105
Sr Ag Te O
4 4 4 4
Direct
0.000 0.061 0.250
0.000 0.939 0.750
0.500 0.439 0.750
0.500 0.561 0.250
0.000 0.385 0.250
0.000 0.615 0.750
0.500 0.115 0.750
0.500 0.885 0.250
0.000 0.247 0.750
0.000 0.753 0.250
0.500 0.253 0.250
0.500 0.747 0.750
0.000 0.500 0.000
0.000 0.500 0.500
0.500 0.000 0.000
0.500 0.000 0.500
```



The following is a PBE calculation of a geometry-optimized SrAgTeO structure, from OQMD via LeMat-Bulk.

## Properties
- SG = No. 36
- raw total energy (eV per atom) = -4.237

POSCAR file:
```
SrAgTeO
1.0
4.335 0.000 0.000
0.000 13.318 0.000
0.000 0.000 6.703
Sr Ag Te O
4 4 4 4
Direct
0.000 0.172 0.000
0.000 0.828 0.500
0.500 0.328 0.500
0.500 0.672 0.000
0.000 0.500 0.251
0.000 0.500 0.751
0.500 0.000 0.251
0.500 0.000 0.751
0.000 0.118 0.500
0.000 0.882 0.000
0.500 0.382 0.000
0.500 0.618 0.500
0.000 0.399 0.501
0.000 0.601 0.001
0.500 0.101 0.001
0.500 0.899 0.501
```



The following is a PBE calculation of a geometry-optimized SrAgTeO structure, from OQMD via LeMat-Bulk.

## Properties
- SG = No. 19
- raw total energy (eV per atom) = -4.255

POSCAR file:
```
SrAgTeO
1.0
6.693 0.000 0.000
0.000 6.826 0.000
0.000 0.000 7.760
Sr Ag Te O
4 4 4 4
Direct
0.158 0.097 0.317
0.342 0.903 0.817
0.658 0.403 0.683
0.842 0.597 0.183
0.159 0.438 0.596
0.341 0.562 0.096
0.659 0.062 0.404
0.841 0.938 0.904
0.077 0.297 0.927
0.423 0.703 0.427
0.577 0.203 0.073
0.923 0.797 0.573
0.114 0.817 0.078
0.386 0.183 0.578
0.614 0.683 0.922
0.886 0.317 0.422
```



The following is a PBE calculation of a geometry-optimized SrAgTeO structure, from OQMD via LeMat-Bulk.

## Properties
- SG = No. 19
- raw total energy (eV per atom) = -4.259

POSCAR file:
```
SrAgTeO
1.0
6.958 0.000 0.000
0.000 7.072 0.000
0.000 0.000 7.610
Sr Ag Te O
4 4 4 4
Direct
0.133 0.120 0.378
0.367 0.880 0.878
0.633 0.380 0.622
0.867 0.620 0.122
0.076 0.583 0.533
0.424 0.417 0.033
0.576 0.917 0.467
0.924 0.083 0.967
0.140 0.347 0.810
0.360 0.653 0.310
0.640 0.153 0.190
0.860 0.847 0.690
0.117 0.885 0.126
0.383 0.115 0.626
0.617 0.615 0.874
0.883 0.385 0.374
```



The following is a PBE calculation of a geometry-optimized SrAgTeO structure, from OQMD via LeMat-Bulk.

## Properties
- SG = No. 63
- raw total energy (eV per atom) = -4.015

POSCAR file:
```
SrAgTeO
1.0
3.670 0.000 0.000
0.000 15.801 0.000
0.000 0.000 6.239
Sr Ag Te O
4 4 4 4
Direct
0.000 0.108 0.250
0.000 0.892 0.750
0.500 0.392 0.750
0.500 0.608 0.250
0.000 0.431 0.250
0.000 0.569 0.750
0.500 0.069 0.750
0.500 0.931 0.250
0.000 0.210 0.750
0.000 0.790 0.250
0.500 0.290 0.250
0.500 0.710 0.750
0.000 0.000 0.000
0.000 0.000 0.500
0.500 0.500 0.000
0.500 0.500 0.500
```